No. 1
Compound: Na3VF6
Source: the Alexandria database
Functional: GGA+U
Structure: relaxed

Geometry as POSCAR:
```
Na3VF6
1.0
0.000 4.144 4.144
4.144 0.000 4.144
4.144 4.144 0.000
Na V F
3 1 6
Cartesian
0.000 0.000 0.000
2.072 2.072 2.072
6.216 6.216 6.216
4.144 4.144 4.144
4.144 4.144 2.185
4.144 2.185 4.144
6.102 4.144 4.144
2.185 4.144 4.144
4.144 6.102 4.144
4.144 4.144 6.102
```

Results
Calculated volume: 14.23 A^3/atom
Symmetry: No. 225
Energy relative to the lowest polymorph listed for this composition: 167.3 meV per atom
Crystal system: cubic



No. 2
Compound: NaVF4
Source: the Alexandria database
Functional: GGA+U
Structure: relaxed

Geometry as POSCAR:
```
NaVF4
1.0
8.080 0.000 0.000
0.000 5.403 0.000
-1.567 0.000 7.526
Na V F
4 4 16
Cartesian
0.505 1.170 2.884
-0.278 1.532 6.647
6.791 3.872 0.879
6.008 4.233 4.642
2.337 4.028 1.497
1.553 4.077 5.260
4.960 1.326 2.266
4.177 1.375 6.029
0.737 2.948 1.418
-0.046 5.157 5.181
1.349 0.143 0.895
0.566 2.559 4.658
1.144 3.415 7.133
1.928 4.690 3.370
2.493 0.304 5.981
3.276 2.397 2.218
3.237 3.006 5.308
4.021 5.099 1.545
4.586 0.713 4.156
5.369 1.988 0.393
5.947 2.844 2.868
5.164 5.260 6.631
6.560 0.247 2.345
5.777 2.455 6.108
```

Results
Calculated volume: 13.69 A^3/atom
Symmetry: No. 14
Crystal system: monoclinic



No. 3
Compound: Na3VF
Source: the Alexandria database
Functional: GGA+U
Structure: relaxed

Geometry as POSCAR:
```
Na3VF
1.0
4.842 0.000 0.000
0.000 4.842 0.000
0.000 0.000 4.842
Na V F
3 1 1
Cartesian
0.000 0.000 2.421
0.000 2.421 0.000
2.421 0.000 0.000
2.421 2.421 2.421
0.000 0.000 0.000
```

Results
Calculated volume: 22.71 A^3/atom
Symmetry: No. 221
Energy relative to the lowest polymorph listed for this composition: 0.0 meV per atom
Crystal system: cubic



No. 4
Compound: Na6VF12
Source: the Alexandria database
Functional: GGA+U
Structure: relaxed

Geometry as POSCAR:
```
Na6VF12
1.0
5.089 2.938 3.175
-5.089 2.938 3.175
0.000 -5.876 3.175
Na V F
6 1 12
Cartesian
-3.800 -1.075 5.073
-0.969 -3.829 4.451
-2.831 2.753 4.451
2.831 -2.753 5.073
0.969 3.829 5.073
3.800 1.075 4.451
0.000 0.000 4.762
-4.119 0.949 4.183
-2.882 -3.093 5.341
-0.912 -1.178 3.718
1.238 -4.042 4.183
-0.565 1.379 3.718
-1.476 0.201 5.807
1.476 -0.201 3.718
0.565 -1.379 5.807
-1.238 4.042 5.341
0.912 1.178 5.807
2.882 3.093 4.183
4.119 -0.949 5.341
```

Results
Calculated volume: 14.99 A^3/atom
Symmetry: No. 148
Crystal system: trigonal



No. 5
Compound: NaVF5
Source: the Alexandria database
Functional: GGA+U
Structure: relaxed

Geometry as POSCAR:
```
NaVF5
1.0
3.898 0.000 0.000
0.000 6.640 0.000
0.000 0.000 8.239
Na V F
2 2 10
Cartesian
0.000 0.000 0.000
1.949 3.320 4.119
0.000 0.000 4.119
1.949 3.320 0.000
0.000 0.000 2.308
0.000 0.000 5.931
0.000 1.887 4.119
0.000 3.320 0.000
0.000 4.754 4.119
1.949 0.000 4.119
1.949 1.433 0.000
1.949 3.320 1.811
1.949 3.320 6.428
1.949 5.207 0.000
```

Results
Calculated volume: 15.23 A^3/atom
Symmetry: No. 71
Crystal system: orthorhombic



No. 6
Compound: Na2VF4
Source: the Alexandria database
Functional: GGA+U
Structure: relaxed

Geometry as POSCAR:
```
Na2VF4
1.0
5.621 0.000 0.000
0.000 5.832 0.000
0.000 0.000 11.708
Na V F
8 4 16
Cartesian
0.028 0.382 1.850
0.028 2.534 7.704
2.782 3.298 1.850
2.782 5.450 7.704
2.839 0.382 4.004
2.839 2.534 9.858
5.593 3.298 4.004
5.593 5.450 9.858
0.000 0.000 5.854
0.000 2.916 0.000
2.811 0.000 0.000
2.811 2.916 5.854
0.629 0.311 7.837
0.629 2.605 1.983
1.085 1.151 11.194
1.085 1.765 5.340
1.726 4.067 11.194
1.726 4.681 5.340
2.182 3.228 7.837
2.182 5.521 1.983
3.440 0.311 9.725
3.440 2.605 3.871
3.895 1.151 6.368
3.895 1.765 0.514
4.536 4.067 6.368
4.536 4.681 0.514
4.992 3.228 9.725
4.992 5.521 3.871
```

Results
Calculated volume: 13.71 A^3/atom
Symmetry: No. 61
Energy relative to the lowest polymorph listed for this composition: 0.0 meV per atom
Crystal system: orthorhombic



| no. | electronic total energy (eV/cell) |
| --- | --- |
| 1 | -49.56 |
| 2 | -134.23 |
| 3 | -15.27 |
| 4 | -85.56 |
| 5 | -75.21 |
| 6 | -146.23 |